DFT (GGA-PBE) results for crystalline BeSiSe2 at its relaxed geometry.

- volume (Å³/cell) = 86
- excess energy over the best structure of this formula in the dataset (eV per atom) = 0.617
- crystal system = monoclinic
- formation energy (no corrections) (eV/f.u.) = 0.84
- D(E_F) (states/eV/f.u.) = 0.9

The structure in POSCAR format:
```
BeSiSe2
1.0
5.347 -0.019 -0.019
0.942 5.263 -0.019
1.942 1.619 3.045
Be Si Se
1 1 2
Cartesian
1.442 3.441 1.513
3.644 0.800 1.513
0.000 0.000 0.000
3.144 2.622 -0.019
```